(1)
The following is a GGA-PBE calculation of crystalline Y2TeF2 at its relaxed geometry, from Alexandria.

```
data_Y2TeF2
_chemical_formula_sum 'Y4 Te2 F4'
_cell_length_a 3.8470
_cell_length_b 3.8470
_cell_length_c 13.0867
_cell_angle_alpha 90.00
_cell_angle_beta 90.00
_cell_angle_gamma 90.00
_symmetry_space_group_name_H-M 'I 4/m m m'
_symmetry_Int_Tables_number 139
_symmetry_space_group_name_Hall '-I 4 2'
loop_
_atom_site_label
_atom_site_type_symbol
_atom_site_fract_x
_atom_site_fract_y
_atom_site_fract_z
Y1 Y 0.0000 0.0000 0.1319
Te1 Te 0.0000 0.0000 0.5000
F1 F 0.0000 0.5000 0.2500
```

## Properties
Total moment in μB/cell: 2.331
Total energy in eV/atom: -6.472

(2)
The following is a GGA-PBE calculation of crystalline Y3TeF at its relaxed geometry, from Alexandria.

```
data_Y3TeF
_chemical_formula_sum 'Y3 Te1 F1'
_cell_length_a 4.8787
_cell_length_b 4.8787
_cell_length_c 4.8787
_cell_angle_alpha 90.00
_cell_angle_beta 90.00
_cell_angle_gamma 90.00
_symmetry_space_group_name_H-M 'P m -3 m'
_symmetry_Int_Tables_number 221
_symmetry_space_group_name_Hall '-P 4 2 3'
loop_
_atom_site_label
_atom_site_type_symbol
_atom_site_fract_x
_atom_site_fract_y
_atom_site_fract_z
Y1 Y 0.0000 0.0000 0.5000
Te1 Te 0.5000 0.5000 0.5000
F1 F 0.0000 0.0000 0.0000
```

## Properties
Total moment in μB/cell: 0.000
Total energy in eV/atom: -5.941
Energy relative to the lowest polymorph listed for this composition in eV per atom: 0.000

(3)
The following is a GGA-PBE calculation of crystalline YTeF at its relaxed geometry, from Alexandria.

```
data_YTeF
_chemical_formula_sum 'Y1 Te1 F1'
_cell_length_a 4.1356
_cell_length_b 4.1356
_cell_length_c 4.3454
_cell_angle_alpha 90.00
_cell_angle_beta 90.00
_cell_angle_gamma 120.00
_symmetry_space_group_name_H-M 'P -6 m 2'
_symmetry_Int_Tables_number 187
_symmetry_space_group_name_Hall 'P -6 2'
loop_
_atom_site_label
_atom_site_type_symbol
_atom_site_fract_x
_atom_site_fract_y
_atom_site_fract_z
Y1 Y 0.0000 0.0000 0.0000
Te1 Te 0.6667 0.3333 0.5000
F1 F 0.3333 0.6667 0.0000
```

## Properties
Total moment in μB/cell: 0.000
Total energy in eV/atom: -6.378